Density functional theory data (PBE) for a geometry-optimized HfAlV3 structure.

a b c (Å): 4.1198 4.1198 9.8657
angles (deg): 90.00 90.00 90.00
Space group I4mm (No. 107)
One atom of each set of equivalent atoms:
Hf 0.0000 0.0000 0.0000 (multiplicity 2)
Al 0.0000 0.0000 0.5952 (multiplicity 2)
V 0.0000 0.0000 0.3394 (multiplicity 2)
V 0.0000 0.5000 0.2632 (multiplicity 4)

## Properties
- E_form (meV per atom) = 291
- VASP energy (eV/atom) = -7.920

***

Density functional theory data (PBE) for a geometry-optimized RhS4Br structure.

a b c (Å): 6.9351 7.1035 7.8168
angles (deg): 80.29 78.90 76.05
Space group P-1 (No. 2)
One atom of each set of equivalent atoms:
Rh 0.2267 0.0429 0.0514 (multiplicity 2)
S 0.0786 0.7402 0.8778 (multiplicity 2)
S 0.1040 0.0220 0.7897 (multiplicity 2)
S 0.3880 0.9671 0.3016 (multiplicity 2)
S 0.4756 0.2003 0.8888 (multiplicity 2)
Br 0.0742 0.5785 0.6442 (multiplicity 2)

## Properties
- VASP energy (eV/atom) = -4.350
- raw formation energy (meV per atom) = -94

***

Density functional theory data (PBE) for a geometry-optimized PrLuAgPb structure.

a b c (Å): 7.5612 7.5612 7.5612
angles (deg): 90.00 90.00 90.00
Space group F-43m (No. 216)
One atom of each set of equivalent atoms:
Pr 0.0000 0.0000 0.0000 (multiplicity 4)
Lu 0.0000 0.0000 0.5000 (multiplicity 4)
Ag 0.2500 0.2500 0.2500 (multiplicity 4)
Pb 0.2500 0.2500 0.7500 (multiplicity 4)

## Properties
- E_form (meV per atom) = -361
- VASP energy (eV/atom) = -4.326

***

Density functional theory data (PBE) for a geometry-optimized CaCuMo structure.

a b c (Å): 6.4706 6.4706 6.4706
angles (deg): 90.00 90.00 90.00
Space group F-43m (No. 216)
One atom of each set of equivalent atoms:
Ca 0.0000 0.0000 0.0000 (multiplicity 4)
Cu 0.2500 0.2500 0.7500 (multiplicity 4)
Mo 0.0000 0.0000 0.5000 (multiplicity 4)

## Properties
- E_form (meV per atom) = 993
- VASP energy (eV/atom) = -4.650

***

Density functional theory data (PBE) for a geometry-optimized LaPm8Rh6 structure.

a b c (Å): 8.4643 8.4643 18.7041
angles (deg): 90.00 90.00 120.00
Space group R-3 (No. 148, hexagonal axes)
One atom of each set of equivalent atoms:
La 0.0000 0.0000 0.0000 (multiplicity 3)
Pm 0.0000 0.0000 0.3387 (multiplicity 6)
Pm 0.0044 0.3242 0.2211 (multiplicity 18)
Rh 0.0010 0.3320 0.0566 (multiplicity 18)

## Properties
- E_form (meV per atom) = -589
- VASP energy (eV/atom) = -6.392

***

Density functional theory data (PBE) for a geometry-optimized ZnInAg2 structure.

a b c (Å): 3.2204 3.2663 7.0624
angles (deg): 90.00 90.11 90.00
Space group P2/m (No. 10)
One atom of each set of equivalent atoms:
Zn 0.0000 0.0000 0.0000 (multiplicity 1)
In 0.0000 0.0000 0.5000 (multiplicity 1)
Ag 0.4993 0.5000 0.7839 (multiplicity 2)

## Properties
- E_form (meV per atom) = -1
- VASP energy (eV/atom) = -2.430

***

Density functional theory data (PBE) for a geometry-optimized Nb2PdAu structure.

a b c (Å): 5.6856 8.4368 2.8480
angles (deg): 90.00 90.00 90.00
Space group Cmmm (No. 65)
One atom of each set of equivalent atoms:
Nb 0.2500 0.2500 0.0000 (multiplicity 4)
Pd 0.0000 0.0000 0.5000 (multiplicity 2)
Au 0.0000 0.5000 0.5000 (multiplicity 2)

## Properties
- E_form (meV per atom) = -210
- VASP energy (eV/atom) = -7.362

***

Density functional theory data (PBE) for a geometry-optimized YRu2W structure.

a b c (Å): 3.2874 3.2874 6.7188
angles (deg): 90.00 90.00 90.00
Space group P4mm (No. 99)
One atom of each set of equivalent atoms:
Y 0.0000 0.0000 0.0000 (multiplicity 1)
Ru 0.0000 0.0000 0.4983 (multiplicity 1)
Ru 0.5000 0.5000 0.2596 (multiplicity 1)
W 0.5000 0.5000 0.6632 (multiplicity 1)

## Properties
- E_form (meV per atom) = 322
- VASP energy (eV/atom) = -9.170

***

Density functional theory data (PBE) for a geometry-optimized Ba3Zn2IrO6 structure.

a b c (Å): 5.8807 5.8807 6.9829
angles (deg): 90.00 90.00 120.00
Space group P-3m1 (No. 164)
One atom of each set of equivalent atoms:
Ba 0.0000 0.0000 0.0000 (multiplicity 1)
Ba 0.3333 0.6667 0.6419 (multiplicity 2)
Zn 0.3333 0.6667 0.1777 (multiplicity 2)
Ir 0.0000 0.0000 0.5000 (multiplicity 1)
O 0.1613 0.3227 0.3265 (multiplicity 6)

## Properties
- VASP energy (eV/atom) = -5.499
- raw formation energy (meV per atom) = -1588

***

Density functional theory data (PBE) for a geometry-optimized CaGa4Ag8 structure.

a b c (Å): 9.4827 9.4827 5.3200
angles (deg): 90.00 90.00 90.00
Space group I4/mmm (No. 139)
One atom of each set of equivalent atoms:
Ca 0.0000 0.0000 0.0000 (multiplicity 2)
Ga 0.2500 0.2500 0.2500 (multiplicity 8)
Ag 0.0000 0.2163 0.5000 (multiplicity 8)
Ag 0.0000 0.3489 0.0000 (multiplicity 8)

## Properties
- E_form (meV per atom) = -126
- VASP energy (eV/atom) = -2.966

***

Density functional theory data (PBE) for a geometry-optimized BaMgCuF7 structure.

a b c (Å): 5.5817 9.9451 9.6586
angles (deg): 90.00 93.11 90.00
Space group P2_1/c (No. 14)
One atom of each set of equivalent atoms:
Ba 0.2360 0.1794 0.4989 (multiplicity 4)
Mg 0.1991 0.6032 0.3103 (multiplicity 4)
Cu 0.3044 0.6146 0.6874 (multiplicity 4)
F 0.0283 0.7145 0.7503 (multiplicity 4)
F 0.1202 0.5416 0.1254 (multiplicity 4)
F 0.1296 0.0456 0.1327 (multiplicity 4)
F 0.2385 0.6894 0.5016 (multiplicity 4)
F 0.3835 0.5460 0.8668 (multiplicity 4)
F 0.3923 0.0535 0.8742 (multiplicity 4)
F 0.4764 0.7208 0.2471 (multiplicity 4)

## Properties
- VASP energy (eV/atom) = -4.867
- raw formation energy (meV per atom) = -2796

***

Density functional theory data (PBE) for a geometry-optimized TiCr4Os structure.

a b c (Å): 6.7591 6.7591 6.7591
angles (deg): 90.00 90.00 90.00
Space group F-43m (No. 216)
One atom of each set of equivalent atoms:
Ti 0.0000 0.0000 0.0000 (multiplicity 4)
Cr 0.1264 0.1264 0.3736 (multiplicity 16)
Os 0.2500 0.2500 0.7500 (multiplicity 4)

## Properties
- E_form (meV per atom) = -37
- VASP energy (eV/atom) = -9.640

***

Number 1: M_tot 0.0 μB/f.u.. Number 2: M_tot 0.0 μB/f.u.. Number 3: M_tot 0.6 μB/f.u.. Number 4: M_tot 3.3 μB/f.u.. Number 5: M_tot 0.0 μB/f.u.. Number 6: M_tot 0.0 μB/f.u.. Number 7: M_tot 0.0 μB/f.u.. Number 8: M_tot 0.0 μB/f.u.. Number 9: M_tot 1.5 μB/f.u.. Number 10: M_tot 0.0 μB/f.u.. Number 11: M_tot 2.1 μB/f.u.. Number 12: M_tot 0.0 μB/f.u..